# 1
LaBeOs2 SCAN single point on PBEsol structure; total energy = -47.070 eV per atom; symmetry = I4/mmm, No. 139; ΔE_f = 0.735 eV per atom
1.0
-2.071 3.535 0.494
-1.343 -0.243 -3.894
-1.315 -3.580 2.863
Os Be La
2 1 1
Direct
0.750 0.250 0.500
0.250 0.750 0.500
0.500 0.500 0.000
0.000 0.000 0.000


# 2
LaBeOs2 SCAN single point on PBEsol structure; total energy = -47.005 eV per atom; symmetry = Cmm2, No. 35; ΔE_f = 0.800 eV per atom
1.0
-0.918 0.738 -2.534
-1.531 -1.855 1.424
-4.893 6.954 3.799
Be Os La
1 2 1
Direct
0.000 0.000 0.542
0.000 0.000 0.972
0.500 0.500 0.737
0.500 0.500 0.249


# 3
LaBeOs2 SCAN single point on PBEsol structure; total energy = -47.304 eV per atom; symmetry = Imm2, No. 44; ΔE_f = 0.501 eV per atom
1.0
2.917 0.000 0.000
0.000 4.853 0.000
-1.458 -2.427 4.791
La Os Be
1 2 1
Direct
0.250 0.750 0.501
0.032 0.032 0.064
0.758 0.258 0.515
0.460 0.460 0.920